LaPmSm: relaxed, PBE.

Summary:
ΔE to the lowest computed polymorph: 0 meV/atom
DFT formation energy: 0.015 eV per atom

Cell: 3.6754 3.6754 8.9980 Å, 90.00 90.00 120.00°
Fractional positions:
La1 0.0000 0.0000 0.0000
Pm1 0.3333 0.6667 0.6620
Sm1 0.6667 0.3333 0.3356



La2PmSm6: relaxed, PBE.

Summary:
ΔE to the lowest computed polymorph: 159 meV/atom
DFT formation energy: 0.211 eV per atom

Cell: 7.7390 7.7390 6.1547 Å, 90.00 90.00 120.00°
Fractional positions:
La1 0.3333 0.6667 0.2845
La2 0.6667 0.3333 0.7155
Pm1 0.0000 0.0000 0.5000
Sm1 0.1878 0.3757 0.7890
Sm2 0.1878 0.8122 0.7890
Sm3 0.3757 0.1878 0.2110
Sm4 0.6243 0.8122 0.7890
Sm5 0.8122 0.1878 0.2110
Sm6 0.8122 0.6243 0.2110



La3PmSm12: relaxed, PBE.

Summary:
DFT formation energy: 0.018 eV per atom

Cell: 5.1685 5.1685 20.6478 Å, 90.00 90.00 90.00°
Fractional positions:
La1 0.0000 0.0000 0.0000
La2 0.0000 0.0000 0.2504
La3 0.0000 0.0000 0.7496
Pm1 0.0000 0.0000 0.5000
Sm1 0.0000 0.5000 0.1254
Sm2 0.0000 0.5000 0.3765
Sm3 0.0000 0.5000 0.6235
Sm4 0.0000 0.5000 0.8746
Sm5 0.5000 0.0000 0.1254
Sm6 0.5000 0.0000 0.3765
Sm7 0.5000 0.0000 0.6235
Sm8 0.5000 0.0000 0.8746
Sm9 0.5000 0.5000 0.0000
Sm10 0.5000 0.5000 0.2514
Sm11 0.5000 0.5000 0.5000
Sm12 0.5000 0.5000 0.7486



La5PmSm3: relaxed, PBE.

Summary:
ΔE to the lowest computed polymorph: 22 meV/atom
DFT formation energy: 0.251 eV per atom

Cell: 10.2362 10.2362 10.2362 Å, 128.16 128.16 76.37°
Fractional positions:
La1 0.0000 0.0000 0.0000
La2 0.0613 0.5613 0.9006
La3 0.1607 0.0613 0.5000
La4 0.3393 0.8393 0.9006
La5 0.4387 0.3393 0.5000
La6 0.5000 0.5000 0.0000
La7 0.5613 0.6607 0.5000
La8 0.6607 0.1607 0.0994
La9 0.8393 0.9387 0.5000
La10 0.9387 0.4387 0.0994
Pm1 0.2500 0.7500 0.5000
Pm2 0.7500 0.2500 0.5000
Sm1 0.1185 0.3815 0.5000
Sm2 0.2500 0.2500 0.0000
Sm3 0.3815 0.8815 0.2629
Sm4 0.6185 0.1185 0.7371
Sm5 0.7500 0.7500 0.0000
Sm6 0.8815 0.6185 0.5000



La5Pm2Sm4: relaxed, PBE.

Summary:
ΔE to the lowest computed polymorph: 0 meV/atom
DFT formation energy: 0.079 eV per atom

Cell: 9.0746 3.5855 12.0125 Å, 90.00 94.35 90.00°
Fractional positions:
La1 0.0000 0.0000 0.0000
La2 0.0722 0.0000 0.2901
La3 0.3041 0.0000 0.8331
La4 0.6959 0.0000 0.1669
La5 0.9278 0.0000 0.7099
Pm1 0.4486 0.0000 0.3639
Pm2 0.5514 0.0000 0.6361
Sm1 0.2055 0.5000 0.5472
Sm2 0.3439 0.5000 0.1050
Sm3 0.6561 0.5000 0.8950
Sm4 0.7945 0.5000 0.4528



LaPm14Sm: relaxed, PBE.

Summary:
DFT formation energy: 0.034 eV per atom

Cell: 11.8394 7.3868 7.3868 Å, 60.01 90.00 90.00°
Fractional positions:
La1 0.0000 0.0000 0.0000
Pm1 0.0000 0.0010 0.4993
Pm2 0.0000 0.4993 0.0010
Pm3 0.2495 0.6669 0.6669
Pm4 0.2514 0.1669 0.1669
Pm5 0.2512 0.1669 0.6670
Pm6 0.2512 0.6670 0.1669
Pm7 0.5000 0.0001 0.0001
Pm8 0.5000 0.9998 0.5003
Pm9 0.5000 0.5003 0.9998
Pm10 0.5000 0.5001 0.5001
Pm11 0.7486 0.1669 0.1669
Pm12 0.7488 0.1669 0.6670
Pm13 0.7488 0.6670 0.1669
Pm14 0.7505 0.6669 0.6669
Sm1 0.0000 0.4994 0.4994



La2PmSm8: relaxed, PBE.

Summary:
ΔE to the lowest computed polymorph: 145 meV/atom
DFT formation energy: 0.164 eV per atom

Cell: 10.3218 10.3218 5.7075 Å, 93.02 93.02 40.57°
Fractional positions:
La1 0.2159 0.2159 0.2595
La2 0.7841 0.7841 0.7405
Pm1 0.5000 0.5000 0.0000
Sm1 0.0444 0.0444 0.2376
Sm2 0.1061 0.6380 0.2663
Sm3 0.3155 0.3155 0.7704
Sm4 0.3620 0.8939 0.7337
Sm5 0.6380 0.1061 0.2663
Sm6 0.6845 0.6845 0.2296
Sm7 0.8939 0.3620 0.7337
Sm8 0.9556 0.9556 0.7624



La2Pm12Sm: relaxed, PBE.

Summary:
DFT formation energy: 0.294 eV per atom

Cell: 6.5948 6.5948 25.5149 Å, 90.00 90.00 90.00°
Fractional positions:
La1 0.2500 0.7500 0.2341
La2 0.2500 0.7500 0.7659
La3 0.7500 0.2500 0.2341
La4 0.7500 0.2500 0.7659
Pm1 0.0626 0.5626 0.3861
Pm2 0.0626 0.9374 0.6139
Pm3 0.0821 0.5821 0.9384
Pm4 0.0821 0.9179 0.0616
Pm5 0.2500 0.2500 0.1617
Pm6 0.2500 0.2500 0.2850
Pm7 0.2500 0.2500 0.7150
Pm8 0.2500 0.2500 0.8383
Pm9 0.4179 0.5821 0.0616
Pm10 0.4179 0.9179 0.9384
Pm11 0.4374 0.5626 0.6139
Pm12 0.4374 0.9374 0.3861
Pm13 0.5626 0.0626 0.6139
Pm14 0.5626 0.4374 0.3861
Pm15 0.5821 0.0821 0.0616
Pm16 0.5821 0.4179 0.9384
Pm17 0.7500 0.7500 0.1617
Pm18 0.7500 0.7500 0.2850
Pm19 0.7500 0.7500 0.7150
Pm20 0.7500 0.7500 0.8383
Pm21 0.9179 0.0821 0.9384
Pm22 0.9179 0.4179 0.0616
Pm23 0.9374 0.0626 0.3861
Pm24 0.9374 0.4374 0.6139
Sm1 0.2500 0.7500 0.5000
Sm2 0.7500 0.2500 0.5000